A plane-wave DFT calculation with PBE-GGA was carried out for crystalline BaCrAgRh2 at its relaxed geometry.

Structure (CIF):
```
data_BaCrAgRh2
_chemical_formula_sum 'Ba1 Cr1 Ag1 Rh2'
_symmetry_space_group_name_H-M 'P 4/m m m'
_symmetry_Int_Tables_number 123
_symmetry_space_group_name_Hall '-P 4 2'
_cell_length_a 5.0662
_cell_length_b 5.0662
_cell_length_c 5.4777
_cell_angle_alpha 90.00
_cell_angle_beta 90.00
_cell_angle_gamma 90.00
loop_
_atom_site_label
_atom_site_type_symbol
_atom_site_fract_x
_atom_site_fract_y
_atom_site_fract_z
Ba1 Ba 0.0000 0.0000 0.0000
Cr1 Cr 0.0000 0.0000 0.5000
Ag1 Ag 0.5000 0.5000 0.5000
Rh1 Rh 0.0000 0.5000 0.0000
```

Calculated values
E_form	1.820	eV/atom
density	5.9	g cm⁻³
N(E_F)	0.410	states/eV/atom
final energy	-4.000	eV/atom
magnetization	5.1	μB per cell
crystal system	tetragonal

A plane-wave DFT calculation with PBE-GGA was carried out for crystalline BaCrAg2S at its relaxed geometry.

Structure (CIF):
```
data_BaCrAg2S
_chemical_formula_sum 'Ba1 Cr1 Ag2 S1'
_symmetry_space_group_name_H-M 'P 4/m m m'
_symmetry_Int_Tables_number 123
_symmetry_space_group_name_Hall '-P 4 2'
_cell_length_a 4.9329
_cell_length_b 4.9329
_cell_length_c 6.7054
_cell_angle_alpha 90.00
_cell_angle_beta 90.00
_cell_angle_gamma 90.00
loop_
_atom_site_label
_atom_site_type_symbol
_atom_site_fract_x
_atom_site_fract_y
_atom_site_fract_z
Ba1 Ba 0.0000 0.0000 0.0000
Cr1 Cr 0.0000 0.0000 0.5000
Ag1 Ag 0.0000 0.5000 0.5000
S1 S 0.5000 0.5000 0.0000
```

Calculated values
density	4.4	g cm⁻³
N(E_F)	0.576	states/eV/atom
final energy	-3.829	eV/atom
magnetization	5.1	μB per cell
raw formation energy	215.2	kJ/mol of formula units
crystal system	tetragonal

A plane-wave DFT calculation with PBE-GGA was carried out for crystalline Ba2CrAgSe at its relaxed geometry.

Structure (CIF):
```
data_Ba2CrAgSe
_chemical_formula_sum 'Ba2 Cr1 Ag1 Se1'
_symmetry_space_group_name_H-M 'P 4/m m m'
_symmetry_Int_Tables_number 123
_symmetry_space_group_name_Hall '-P 4 2'
_cell_length_a 6.3566
_cell_length_b 6.3566
_cell_length_c 4.7554
_cell_angle_alpha 90.00
_cell_angle_beta 90.00
_cell_angle_gamma 90.00
loop_
_atom_site_label
_atom_site_type_symbol
_atom_site_fract_x
_atom_site_fract_y
_atom_site_fract_z
Ba1 Ba 0.0000 0.5000 0.0000
Cr1 Cr 0.0000 0.0000 0.5000
Ag1 Ag 0.5000 0.5000 0.5000
Se1 Se 0.0000 0.0000 0.0000
```

Calculated values
density	4.4	g cm⁻³
N(E_F)	1.033	states/eV/atom
final energy	-4.227	eV/atom
magnetization	3.8	μB per cell
raw formation energy	-128.2	kJ/mol of formula units
crystal system	tetragonal

A plane-wave DFT calculation with PBE-GGA was carried out for crystalline Ba2SrCrAg at its relaxed geometry.

Structure (CIF):
```
data_Ba2SrCrAg
_chemical_formula_sum 'Ba2 Sr1 Cr1 Ag1'
_symmetry_space_group_name_H-M 'P 4/m m m'
_symmetry_Int_Tables_number 123
_symmetry_space_group_name_Hall '-P 4 2'
_cell_length_a 6.7941
_cell_length_b 6.7941
_cell_length_c 5.4029
_cell_angle_alpha 90.00
_cell_angle_beta 90.00
_cell_angle_gamma 90.00
loop_
_atom_site_label
_atom_site_type_symbol
_atom_site_fract_x
_atom_site_fract_y
_atom_site_fract_z
Ba1 Ba 0.0000 0.5000 0.0000
Sr1 Sr 0.0000 0.0000 0.0000
Cr1 Cr 0.0000 0.0000 0.5000
Ag1 Ag 0.5000 0.5000 0.5000
```

Calculated values
E_form	1.117	eV/atom
density	3.5	g cm⁻³
N(E_F)	1.390	states/eV/atom
final energy	-2.484	eV/atom
magnetization	3.5	μB per cell
crystal system	tetragonal

Question: density of number 2 (BaCrAg2S)?
Answer: 4.4 g cm⁻³

Question: Which of these has the lowest N(E_F)?
Answer: BaCrAgRh2

Question: N(E_F) of number 2 (BaCrAg2S)?
Answer: 0.576 states/eV/atom

Question: density of number 3 (Ba2CrAgSe)?
Answer: 4.4 g cm⁻³